1.
## CsMn3As (PBE-GGA)

Data for a geometry-optimized CsMn3As structure.

- Calculated density: 4.77 g/cm³
- M_tot: 11.30 μB/cell
- E: -4.287 eV/atom
- V: 130 Å³/cell
- Energy of formation from the pure elements: 2316 meV/atom

a b c (Å): 5.064 5.064 5.064
angles (deg): 90.00 90.00 90.00
Space group Pm-3m (No. 221)
Asymmetric unit:
Cs 0.000 0.000 0.000 [1 per cell]
Mn 0.000 0.000 0.500 [3 per cell]
As 0.500 0.500 0.500 [1 per cell]



2.
## MnFeNiMo (PBE-GGA)

Data for a geometry-optimized MnFeNiMo structure.

- Calculated density: 8.82 g/cm³
- M_tot: 15.65 μB/cell
- E: -8.449 eV/atom
- V: 200 Å³/cell
- Energy of formation from the pure elements: 112 meV/atom

a b c (Å): 5.846 5.846 5.846
angles (deg): 90.00 90.00 90.00
Space group F-43m (No. 216)
Asymmetric unit:
Mn 0.000 0.000 0.000 [4 per cell]
Fe 0.000 0.000 0.500 [4 per cell]
Ni 0.250 0.250 0.250 [4 per cell]
Mo 0.250 0.250 0.750 [4 per cell]



3.
## HfZrMnNi (PBE-GGA)

Data for a geometry-optimized HfZrMnNi structure.

- Calculated density: 9.87 g/cm³
- M_tot: 0.00 μB/cell
- E: -8.607 eV/atom
- V: 258 Å³/cell
- Energy of formation from the pure elements: -244 meV/atom

a b c (Å): 6.366 6.366 6.366
angles (deg): 90.00 90.00 90.00
Space group F-43m (No. 216)
Asymmetric unit:
Hf 0.000 0.000 0.000 [4 per cell]
Zr 0.000 0.000 0.500 [4 per cell]
Mn 0.250 0.250 0.250 [4 per cell]
Ni 0.250 0.250 0.750 [4 per cell]



4.
## Ce2Th3Hg2 (PBE-GGA)

Data for a geometry-optimized Ce2Th3Hg2 structure.

- Calculated density: 11.58 g/cm³
- M_tot: 0.00 μB/cell
- E: -5.003 eV/atom
- V: 395 Å³/cell
- Energy of formation from the pure elements: -41 meV/atom

a b c (Å): 4.451 25.381 3.497
angles (deg): 90.00 90.00 90.00
Space group Cmmm (No. 65)
Asymmetric unit:
Ce 0.000 0.217 0.000 [4 per cell]
Th 0.000 0.360 0.500 [4 per cell]
Th 0.000 0.500 0.500 [2 per cell]
Hg 0.000 0.073 0.000 [4 per cell]



5.
## NbTcNi (PBE-GGA)

Data for a geometry-optimized NbTcNi structure.

- Calculated density: 9.35 g/cm³
- M_tot: 0.00 μB/cell
- E: -8.754 eV/atom
- V: 89 Å³/cell
- Energy of formation from the pure elements: -15 meV/atom
- Energy above the lowest structure with this stoichiometry: 0.41 eV per formula unit

a b c (Å): 4.649 4.819 5.138
angles (deg): 92.46 114.09 118.05
Space group P-1 (No. 2)
Asymmetric unit:
Nb 0.062 0.401 0.259 [2 per cell]
Tc 0.293 0.265 0.767 [2 per cell]
Ni 0.370 0.066 0.268 [2 per cell]



6.
## SmYTlHg (PBE-GGA)

Data for a geometry-optimized SmYTlHg structure.

- Calculated density: 9.75 g/cm³
- M_tot: 2.63 μB/cell
- E: -3.900 eV/atom
- V: 439 Å³/cell
- Energy of formation from the pure elements: -437 meV/atom

a b c (Å): 7.600 7.600 7.600
angles (deg): 90.00 90.00 90.00
Space group F-43m (No. 216)
Asymmetric unit:
Sm 0.000 0.000 0.000 [4 per cell]
Y 0.000 0.000 0.500 [4 per cell]
Tl 0.250 0.250 0.250 [4 per cell]
Hg 0.250 0.250 0.750 [4 per cell]



Question: Which value of V does entry 6 give?
Answer: 439 Å³/cell



Question: Look up the V of the second one.
Answer: 200 Å³/cell



Question: Which of these has the lowest E?
Answer: NbTcNi



Question: Which value of E does entry 6 give?
Answer: -3.900 eV/atom